Material: Hf7As2P2
Method: DFT, PBE-GGA
State: relaxed

a b c (Å): 8.3608 8.3608 8.3608
angles (deg): 155.39 65.17 120.71
Last column: nearest neighbours and their distance in Å.
Fractional positions:
Hf: 0.0000 0.0000 0.0000  3 As 2.71-2.79
Hf: 0.2942 0.4116 0.8826  2 P 2.61, 3 As 2.71-2.74
Hf: 0.2965 0.6195 0.6771  3 P 2.61-2.72, 1 As 2.75
Hf: 0.5289 0.4116 0.1174  2 P 2.61, 3 As 2.71-2.74
Hf: 0.5904 0.2398 0.3506  3 P 2.71-3.01, 2 As 2.81
Hf: 0.8892 0.2398 0.6494  3 P 2.71-3.01, 2 As 2.81
Hf: 0.9424 0.6195 0.3229  3 P 2.61-2.72, 1 As 2.75
As: 0.2596 0.7596 0.5000  8 Hf 2.74-2.79
As: 0.6718 0.6718 0.0000  7 Hf 2.71-2.81
P: 0.1686 0.9216 0.2470  7 Hf 2.61-2.72
P: 0.6746 0.9216 0.7530  7 Hf 2.61-2.72

## Properties
Mass density (g cm⁻³): 11.69
Symmetry: Imm2, No. 44
Total DFT energy (no corrections) (Ry per atom): -0.66975